1.
VASP calculation (PBE) on crystalline CuHgPb4 at its relaxed geometry.

The structure belongs to space group F-43m (No. 216); the cell edges are 9.110, 9.110 and 9.110 Å and the angles 90.00°, 90.00° and 90.00°. Symmetry generates all atoms from Cu at (0.000, 0.000, 0.000), Hg at (0.250, 0.250, 0.750) and Pb at (0.125, 0.125, 0.375).

For the density of states at the Fermi level, the calculation gives 0.41 states/eV/atom. Its formation enthalpy at 0 K is 0.452 eV/atom. As for the crystal system: cubic. Its magnetization is 0.000 μB per cell.

***

2.
VASP calculation (PBE) on crystalline Nd3ZnGa at its relaxed geometry.

The structure belongs to space group Cmcm (No. 63); the cell edges are 5.250, 19.912 and 5.248 Å and the angles 90.00°, 90.00° and 90.00°. Symmetry generates all atoms from Nd at (0.000, 0.068, 0.250), Nd at (0.000, 0.249, 0.250), Nd at (0.000, 0.430, 0.250), Zn at (0.000, 0.343, 0.750) and Ga at (0.000, 0.159, 0.750).

Its polymorph energy (0 for the lowest one) is 0.000 eV/atom. For the density of states at the Fermi level, the calculation gives 1.09 states/eV/atom. Its formation enthalpy at 0 K is -0.332 eV/atom. As for the crystal system: orthorhombic. Its magnetization is 0.173 μB per cell.

***

3.
VASP calculation (PBE) on crystalline Mg2CoHIr at its relaxed geometry.

The structure belongs to space group P4/mmm (No. 123); the cell edges are 4.344, 4.344 and 3.214 Å and the angles 90.00°, 90.00° and 90.00°. Symmetry generates all atoms from Mg at (0.000, 0.500, 0.000), Co at (0.000, 0.000, 0.500), H at (0.000, 0.000, 0.000) and Ir at (0.500, 0.500, 0.500).

Its polymorph energy (0 for the lowest one) is 0.000 eV/atom. For the density of states at the Fermi level, the calculation gives 0.93 states/eV/atom. As for the crystal system: tetragonal. Its magnetization is 0.593 μB per cell.

***

4.
VASP calculation (PBE) on crystalline PuTaTe2 at its relaxed geometry.

The structure belongs to space group R-3m (No. 166, hexagonal axes); the cell edges are 3.5867, 3.5867 and 30.5300 Å and the angles 90.00°, 90.00° and 120.00°. Symmetry generates all atoms from Pu at (0.0000, 0.0000, 0.0000), Ta at (0.0000, 0.0000, 0.5000) and Te at (0.0000, 0.0000, 0.1048).

For the density of states at the Fermi level, the calculation gives 2.45 states/eV/atom. The formation energy (no corrections) comes out at -7.4 kJ/mol of atoms. As for the crystal system: trigonal. Its magnetization is 20.557 μB per cell.

***

5.
VASP calculation (PBE) on crystalline ZnAg5Te6 at its relaxed geometry.

The structure belongs to space group C2/m (No. 12); the cell edges are 7.164, 12.392 and 7.139 Å and the angles 90.00°, 109.54° and 90.00°. Symmetry generates all atoms from Zn at (0.000, 0.000, 0.000), Ag at (0.000, 0.166, 0.500), Ag at (0.000, 0.333, 0.000), Ag at (0.000, 0.500, 0.500), Te at (0.240, 0.000, 0.763) and Te at (0.248, 0.163, 0.250).

For the density of states at the Fermi level, the calculation gives 0.54 states/eV/atom. The formation energy (no corrections) comes out at -2.6 kJ/mol of atoms. As for the crystal system: monoclinic. Its magnetization is 0.000 μB per cell.

***

6.
VASP calculation (PBE) on crystalline NaBr at its relaxed geometry.

The structure belongs to space group Pm-3n (No. 223); the cell edges are 8.127, 8.127 and 8.127 Å and the angles 90.00°, 90.00° and 90.00°. Symmetry generates all atoms from Na at (0.000, 0.250, 0.500) and Br at (0.000, 0.500, 0.250).

For the density of states at the Fermi level, the calculation gives 0.00 states/eV/atom. The formation energy (no corrections) comes out at -143.5 kJ/mol of atoms. As for the crystal system: cubic. Its magnetization is 0.000 μB per cell.

***

7.
VASP calculation (PBE) on crystalline BPIrRhAu at its relaxed geometry.

The structure belongs to space group Pm (No. 6); the cell edges are 3.913, 3.863 and 5.846 Å and the angles 90.00°, 90.31° and 90.00°. Symmetry generates all atoms from B at (0.000, 0.000, 0.000), P at (0.496, 0.500, 0.635), Ir at (0.498, 0.000, 0.868), Rh at (0.998, 0.500, 0.860) and Au at (0.485, 0.500, 0.241).

Its polymorph energy (0 for the lowest one) is 0.070 eV/atom. For the density of states at the Fermi level, the calculation gives 0.58 states/eV/atom. Its formation enthalpy at 0 K is -0.141 eV/atom. As for the crystal system: monoclinic. Its magnetization is 0.000 μB per cell.

***

8.
VASP calculation (PBE) on crystalline Pm3NdY2Se6 at its relaxed geometry.

The structure belongs to space group C2/m (No. 12); the cell edges are 7.190, 12.512 and 7.229 Å and the angles 90.00°, 109.43° and 90.00°. Symmetry generates all atoms from Pm at (0.000, 0.000, 0.000), Pm at (0.000, 0.339, 0.000), Nd at (0.000, 0.500, 0.500), Y at (0.000, 0.166, 0.500), Se at (0.239, 0.000, 0.741) and Se at (0.247, 0.171, 0.254).

For the density of states at the Fermi level, the calculation gives 0.46 states/eV/atom. The formation energy (no corrections) comes out at -175.1 kJ/mol of atoms. As for the crystal system: monoclinic. Its magnetization is 0.000 μB per cell.

***

9.
VASP calculation (PBE) on crystalline Mg5AlGa6 at its relaxed geometry.

The structure belongs to space group C2/m (No. 12); the cell edges are 9.197, 12.841 and 4.317 Å and the angles 90.00°, 117.51° and 90.00°. Symmetry generates all atoms from Mg at (0.000, 0.000, 0.000), Mg at (0.000, 0.167, 0.500), Mg at (0.000, 0.337, 0.000), Al at (0.000, 0.500, 0.500), Ga at (0.247, 0.500, 0.247) and Ga at (0.248, 0.335, 0.747).

For the density of states at the Fermi level, the calculation gives 0.33 states/eV/atom. Its formation enthalpy at 0 K is -0.109 eV/atom. As for the crystal system: monoclinic. Its magnetization is 0.000 μB per cell.

***

10.
VASP calculation (PBE) on crystalline Mg3AsN at its relaxed geometry.

The structure belongs to space group C2/m (No. 12); the cell edges are 12.869, 4.180 and 7.366 Å and the angles 90.00°, 103.20° and 90.00°. Symmetry generates all atoms from Mg at (0.091, 0.000, 0.207), Mg at (0.101, 0.500, 0.692), Mg at (0.229, 0.500, 0.106), As at (0.000, 0.000, 0.500), As at (0.000, 0.500, 0.000) and N at (0.244, 0.000, 0.169).

For the density of states at the Fermi level, the calculation gives 0.00 states/eV/atom. The formation energy (no corrections) comes out at -62.2 kJ/mol of atoms. As for the crystal system: monoclinic. Its magnetization is 0.000 μB per cell.

***

11.
VASP calculation (PBE) on crystalline Ac7Nd3Sm2 at its relaxed geometry.

The structure belongs to space group P2/m (No. 10); the cell edges are 6.982, 3.788 and 18.594 Å and the angles 90.00°, 96.08° and 90.00°. Symmetry generates all atoms from Ac at (0.000, 0.000, 0.000), Ac at (0.227, 0.500, 0.176), Ac at (0.254, 0.500, 0.494), Ac at (0.277, 0.000, 0.831), Nd at (0.460, 0.000, 0.341), Nd at (0.500, 0.500, 0.000) and Sm at (0.060, 0.500, 0.669).

For the density of states at the Fermi level, the calculation gives 1.53 states/eV/atom. Its formation enthalpy at 0 K is 0.099 eV/atom. As for the crystal system: monoclinic. Its magnetization is 0.000 μB per cell.

***

12.
VASP calculation (PBE) on crystalline NdBr2Cl at its relaxed geometry.

The structure belongs to space group Immm (No. 71); the cell edges are 4.318, 5.496 and 13.531 Å and the angles 90.00°, 90.00° and 90.00°. Symmetry generates all atoms from Nd at (0.000, 0.000, 0.000), Br at (0.000, 0.500, 0.355) and Cl at (0.000, 0.500, 0.000).

Its polymorph energy (0 for the lowest one) is 0.036 eV/atom. For the density of states at the Fermi level, the calculation gives 0.00 states/eV/atom. The formation energy (no corrections) comes out at -191.2 kJ/mol of atoms. As for the crystal system: orthorhombic. Its magnetization is 0.000 μB per cell.